[1]
EuMg2Ga | PBE | optimized geometry

POSCAR file:
```
EuMg2Ga
1.0
3.5117 0.0000 0.0000
0.0000 3.5117 0.0000
0.0000 0.0000 8.1956
Eu Mg Ga
1 2 1
direct
0.0000 0.0000 0.0000
0.5000 0.5000 0.3044
0.5000 0.5000 0.6956
0.0000 0.0000 0.5000
```

Summary:
* final energy: -4.24 eV/atom
* energy of formation: -0.113 eV/atom
* energy above the lowest structure with this stoichiometry: 53.0 meV per atom

---

[2]
EuMgGa | PBE | optimized geometry

POSCAR file:
```
EuMgGa
1.0
4.9099 0.0000 0.0000
-2.4549 4.2521 0.0000
0.0000 0.0000 3.6832
Eu Mg Ga
1 1 1
direct
0.0000 0.0000 0.0000
0.3333 0.6667 0.5000
0.6667 0.3333 0.5000
```

Summary:
* final energy: -5.28 eV/atom
* energy of formation: -0.311 eV/atom

---

[3]
EuMg2Ga | PBE | optimized geometry

POSCAR file:
```
EuMg2Ga
1.0
0.0000 3.6011 3.6011
3.6011 0.0000 3.6011
3.6011 3.6011 0.0000
Eu Mg Ga
1 2 1
direct
0.0000 0.0000 0.0000
0.2500 0.2500 0.2500
0.7500 0.7500 0.7500
0.5000 0.5000 0.5000
```

Summary:
* final energy: -4.25 eV/atom
* energy of formation: -0.131 eV/atom
* energy above the lowest structure with this stoichiometry: 34.9 meV per atom

---

[4]
EuMgGa | PBE | optimized geometry

POSCAR file:
```
EuMgGa
1.0
-1.7919 1.7919 5.9766
1.7919 -1.7919 5.9766
1.7919 1.7919 -5.9766
Eu Mg Ga
1 1 1
direct
0.0000 0.0000 0.0000
0.7080 0.7080 0.0000
0.3270 0.3270 0.0000
```

Summary:
* final energy: -5.20 eV/atom
* energy of formation: -0.238 eV/atom